The following is a DFT calculation (PBE) of a geometry-optimized ZnPt3 structure.

a b c (Å): 5.367 5.367 5.367
angles (deg): 149.93 61.90 127.27
Sites, in units of the cell vectors:
Zn1 0.000 0.000 0.000
Pt1 0.097 0.354 0.744
Pt2 0.495 0.995 0.500
Pt3 0.610 0.354 0.256

Calculated values
spin magnetization: 0.000 μB per atom
energy of formation from the pure elements: -0.28 eV per atom
space group: Imm2, No. 44
energy: -20.53 eV/cell
mass density: 17.68 Mg/m³